Density functional theory data (PBE-GGA) for a relaxed structure of TeBrN2Cl.

The structure in CIF format:
```
data_TeBrN2Cl
_space_group_name_H-M_alt 'P 4/m m m'
_space_group_IT_number 123
_space_group_name_Hall '-P 4 2'
_cell_length_a 3.998
_cell_length_b 3.998
_cell_length_c 8.480
_cell_angle_alpha 90.00
_cell_angle_beta 90.00
_cell_angle_gamma 90.00
loop_
_atom_site_label
_atom_site_fract_x
_atom_site_fract_y
_atom_site_fract_z
Te1 0.000 0.000 0.000
Br1 0.000 0.000 0.500
N1 0.000 0.500 0.500
Cl1 0.500 0.500 0.000
```

Values from the calculation:
The value obtained for the energy above the most stable polymorph in this dataset is 0.0000 eV/atom. The value obtained for the formation energy (no corrections) is 1.997 eV/atom. The calculation puts the total DFT energy (no corrections) at -13.33 eV/cell.


Density functional theory data (PBE-GGA) for a relaxed structure of Na6Br5Cl.

The structure in CIF format:
```
data_Na6Br5Cl
_space_group_name_H-M_alt 'C 1 2/m 1'
_space_group_IT_number 12
_cell_length_a 7.305
_cell_length_b 12.664
_cell_length_c 7.324
_cell_angle_alpha 90.00
_cell_angle_beta 109.41
_cell_angle_gamma 90.00
loop_
_space_group_symop_operation_xyz
'x,y,z'
'-x,-y,-z'
'-x,y,-z'
'x,-y,z'
'x+1/2,y+1/2,z'
'-x+1/2,-y+1/2,-z'
'-x+1/2,y+1/2,-z'
'x+1/2,-y+1/2,z'
loop_
_atom_site_label
_atom_site_fract_x
_atom_site_fract_y
_atom_site_fract_z
Na1 0.243 0.000 0.256
Na2 0.244 0.162 0.745
Br1 0.000 0.167 0.000
Br2 0.000 0.333 0.500
Br3 0.000 0.500 0.000
Cl1 0.000 0.000 0.500
```

Values from the calculation:
The value obtained for the formation energy (no corrections) is -1.598 eV/atom. The calculation puts the total DFT energy (no corrections) at -74.61 eV/cell.


Density functional theory data (PBE-GGA) for a relaxed structure of NaBr4Cl2.

The structure in CIF format:
```
data_NaBr4Cl2
_space_group_name_H-M_alt 'I 4/m m m'
_space_group_IT_number 139
_space_group_name_Hall '-I 4 2'
_cell_length_a 5.634
_cell_length_b 5.634
_cell_length_c 19.509
_cell_angle_alpha 90.00
_cell_angle_beta 90.00
_cell_angle_gamma 90.00
loop_
_atom_site_label
_atom_site_fract_x
_atom_site_fract_y
_atom_site_fract_z
Na1 0.000 0.000 0.000
Br1 0.000 0.000 0.243
Br2 0.000 0.500 0.000
Cl1 0.000 0.000 0.353
```

Values from the calculation:
The value obtained for the formation energy (no corrections) is -0.205 eV/atom. The calculation puts the total DFT energy (no corrections) at -26.28 eV/cell.


Density functional theory data (PBE-GGA) for a relaxed structure of NaBrCl2.

The structure in CIF format:
```
data_NaBrCl2
_space_group_name_H-M_alt 'P n a 21'
_space_group_IT_number 33
_cell_length_a 7.041
_cell_length_b 14.261
_cell_length_c 5.255
_cell_angle_alpha 90.00
_cell_angle_beta 90.00
_cell_angle_gamma 90.00
loop_
_space_group_symop_operation_xyz
'x,y,z'
'-x,-y,z+1/2'
'-x+1/2,y+1/2,z+1/2'
'x+1/2,-y+1/2,z'
loop_
_atom_site_label
_atom_site_fract_x
_atom_site_fract_y
_atom_site_fract_z
Na1 0.030 0.128 0.000
Br1 0.132 0.378 0.227
Cl1 0.090 0.681 0.426
Cl2 0.106 0.931 0.006
```

Values from the calculation:
The value obtained for the energy above the most stable polymorph in this dataset is 0.0276 eV/atom. The value obtained for the formation energy (no corrections) is -0.888 eV/atom. The calculation puts the total DFT energy (no corrections) at -40.96 eV/cell.


Density functional theory data (PBE-GGA) for a relaxed structure of NaBr2Cl6.

The structure in CIF format:
```
data_NaBr2Cl6
_space_group_name_H-M_alt 'C 1 2/c 1'
_space_group_IT_number 15
_cell_length_a 10.677
_cell_length_b 14.701
_cell_length_c 7.980
_cell_angle_alpha 90.00
_cell_angle_beta 99.43
_cell_angle_gamma 90.00
loop_
_space_group_symop_operation_xyz
'x,y,z'
'-x,-y,-z'
'-x,y,-z+1/2'
'x,-y,z+1/2'
'x+1/2,y+1/2,z'
'-x+1/2,-y+1/2,-z'
'-x+1/2,y+1/2,-z+1/2'
'x+1/2,-y+1/2,z+1/2'
loop_
_atom_site_label
_atom_site_fract_x
_atom_site_fract_y
_atom_site_fract_z
Na1 0.000 0.071 0.250
Br1 0.232 0.323 0.237
Cl1 0.086 0.482 0.476
Cl2 0.100 0.221 0.075
Cl3 0.141 0.060 0.588
```

Values from the calculation:
The value obtained for the formation energy (no corrections) is -0.361 eV/atom. The calculation puts the total DFT energy (no corrections) at -75.96 eV/cell.


Density functional theory data (PBE-GGA) for a relaxed structure of NaBr2Cl2.

The structure in CIF format:
```
data_NaBr2Cl2
_space_group_name_H-M_alt 'P 4/m b m'
_space_group_IT_number 127
_space_group_name_Hall '-P 4 2ab'
_cell_length_a 7.985
_cell_length_b 7.985
_cell_length_c 5.028
_cell_angle_alpha 90.00
_cell_angle_beta 90.00
_cell_angle_gamma 90.00
loop_
_atom_site_label
_atom_site_fract_x
_atom_site_fract_y
_atom_site_fract_z
Na1 0.000 0.000 0.000
Br1 0.102 0.398 0.500
Cl1 0.233 0.733 0.000
```

Values from the calculation:
The value obtained for the formation energy (no corrections) is -0.444 eV/atom. The calculation puts the total DFT energy (no corrections) at -21.16 eV/cell.


Density functional theory data (PBE-GGA) for a relaxed structure of Na4BrCl2.

The structure in CIF format:
```
data_Na4BrCl2
_space_group_name_H-M_alt 'I 4/m m m'
_space_group_IT_number 139
_space_group_name_Hall '-I 4 2'
_cell_length_a 5.456
_cell_length_b 5.456
_cell_length_c 15.042
_cell_angle_alpha 90.00
_cell_angle_beta 90.00
_cell_angle_gamma 90.00
loop_
_atom_site_label
_atom_site_fract_x
_atom_site_fract_y
_atom_site_fract_z
Na1 0.000 0.000 0.209
Na2 0.000 0.500 0.000
Br1 0.000 0.000 0.000
Cl1 0.000 0.000 0.385
```

Values from the calculation:
The value obtained for the formation energy (no corrections) is -1.217 eV/atom. The calculation puts the total DFT energy (no corrections) at -38.33 eV/cell.


Density functional theory data (PBE-GGA) for a relaxed structure of Na8Br4Cl3.

The structure in CIF format:
```
data_Na8Br4Cl3
_space_group_name_H-M_alt 'C 1 2/m 1'
_space_group_IT_number 12
_cell_length_a 11.750
_cell_length_b 11.768
_cell_length_c 8.303
_cell_angle_alpha 90.00
_cell_angle_beta 134.84
_cell_angle_gamma 90.00
loop_
_space_group_symop_operation_xyz
'x,y,z'
'-x,-y,-z'
'-x,y,-z'
'x,-y,z'
'x+1/2,y+1/2,z'
'-x+1/2,-y+1/2,-z'
'-x+1/2,y+1/2,-z'
'x+1/2,-y+1/2,z'
loop_
_atom_site_label
_atom_site_fract_x
_atom_site_fract_y
_atom_site_fract_z
Na1 0.000 0.246 0.000
Na2 0.000 0.252 0.500
Na3 0.248 0.000 0.004
Na4 0.249 0.000 0.491
Br1 0.000 0.000 0.500
Br2 0.000 0.500 0.000
Br3 0.250 0.250 0.500
Cl1 0.000 0.000 0.000
Cl2 0.250 0.250 0.000
```

Values from the calculation:
The value obtained for the formation energy (no corrections) is -1.496 eV/atom. The calculation puts the total DFT energy (no corrections) at -90.44 eV/cell.


Density functional theory data (PBE-GGA) for a relaxed structure of Na3BrCl.

The structure in CIF format:
```
data_Na3BrCl
_space_group_name_H-M_alt 'P m -3 m'
_space_group_IT_number 221
_space_group_name_Hall '-P 4 2 3'
_cell_length_a 5.439
_cell_length_b 5.439
_cell_length_c 5.439
_cell_angle_alpha 90.00
_cell_angle_beta 90.00
_cell_angle_gamma 90.00
loop_
_atom_site_label
_atom_site_fract_x
_atom_site_fract_y
_atom_site_fract_z
Na1 0.000 0.000 0.500
Br1 0.500 0.500 0.500
Cl1 0.000 0.000 0.000
```

Values from the calculation:
The value obtained for the energy above the most stable polymorph in this dataset is 0.0000 eV/atom. The value obtained for the formation energy (no corrections) is -1.054 eV/atom. The calculation puts the total DFT energy (no corrections) at -12.74 eV/cell.


Density functional theory data (PBE-GGA) for a relaxed structure of NaBrCl2.

The structure in CIF format:
```
data_NaBrCl2
_space_group_name_H-M_alt 'P 63/m m c'
_space_group_IT_number 194
_space_group_name_Hall '-P 6c 2c'
_cell_length_a 4.4399
_cell_length_b 4.4399
_cell_length_c 14.9026
_cell_angle_alpha 90.00
_cell_angle_beta 90.00
_cell_angle_gamma 120.00
loop_
_atom_site_label
_atom_site_fract_x
_atom_site_fract_y
_atom_site_fract_z
Na1 0.0000 0.0000 0.0000
Br1 0.3333 0.6667 0.2500
Cl1 0.3333 0.6667 0.0877
```

Values from the calculation:
The value obtained for the energy above the most stable polymorph in this dataset is 0.0007 eV/atom. The value obtained for the formation energy (no corrections) is -0.915 eV/atom. The calculation puts the total DFT energy (no corrections) at -20.69 eV/cell.


Density functional theory data (PBE-GGA) for a relaxed structure of NaBrCl4.

The structure in CIF format:
```
data_NaBrCl4
_space_group_name_H-M_alt 'I b a m'
_space_group_IT_number 72
_space_group_name_Hall '-I 2 2c'
_cell_length_a 7.174
_cell_length_b 7.216
_cell_length_c 12.645
_cell_angle_alpha 90.00
_cell_angle_beta 90.00
_cell_angle_gamma 90.00
loop_
_atom_site_label
_atom_site_fract_x
_atom_site_fract_y
_atom_site_fract_z
Na1 0.000 0.000 0.250
Br1 0.000 0.500 0.000
Cl1 0.170 0.332 0.134
```

Values from the calculation:
The value obtained for the energy above the most stable polymorph in this dataset is 0.0000 eV/atom. The value obtained for the formation energy (no corrections) is -0.536 eV/atom. The calculation puts the total DFT energy (no corrections) at -54.38 eV/cell.


Density functional theory data (PBE-GGA) for a relaxed structure of NaBrCl4.

The structure in CIF format:
```
data_NaBrCl4
_space_group_name_H-M_alt 'C 1 2/c 1'
_space_group_IT_number 15
_cell_length_a 6.137
_cell_length_b 14.734
_cell_length_c 9.672
_cell_angle_alpha 90.00
_cell_angle_beta 97.96
_cell_angle_gamma 90.00
loop_
_space_group_symop_operation_xyz
'x,y,z'
'-x,-y,-z'
'-x,y,-z+1/2'
'x,-y,z+1/2'
'x+1/2,y+1/2,z'
'-x+1/2,-y+1/2,-z'
'-x+1/2,y+1/2,-z+1/2'
'x+1/2,-y+1/2,z+1/2'
loop_
_atom_site_label
_atom_site_fract_x
_atom_site_fract_y
_atom_site_fract_z
Na1 0.000 0.051 0.250
Br1 0.000 0.473 0.750
Cl1 0.011 0.170 0.025
Cl2 0.228 0.083 0.600
```

Values from the calculation:
The value obtained for the energy above the most stable polymorph in this dataset is 0.0093 eV/atom. The value obtained for the formation energy (no corrections) is -0.527 eV/atom. The calculation puts the total DFT energy (no corrections) at -54.15 eV/cell.


Which of these has the highest total DFT energy (no corrections)?
Na3BrCl